A plane-wave DFT calculation with GGA-PBE was carried out for Na2TiSn4 after structural relaxation.

Formation energy: 0.05 eV/atom
M_tot: 0.00 μB/f.u.
Raw total energy: -3.739 eV/atom

a = 5.3066 Å, b = 5.3066 Å, c = 15.5786 Å
α = 90.00°, β = 90.00°, γ = 90.00°
Closest atoms and distances in Å follow each position.
Space group I4/mmm (No. 139)
Symmetry-distinct sites (fractional):
1 Na 0.0000 0.0000 0.1322 x4  5 Sn 3.07-3.36
2 Ti 0.0000 0.0000 0.5000 x2  6 Sn 2.65-2.66
3 Sn 0.0000 0.0000 0.3290 x4  1 Ti 2.66
4 Sn 0.0000 0.5000 0.0000 x4  2 Ti 2.65